Run one
Entry from Alexandria via LeMat-Bulk: a relaxed TlCu3S crystal (PBE).

Density of states at the Fermi level in states/eV/cell: 1.984
Volume in Å³/atom: 18.3

Cell and atoms, written as POSCAR:
```
TlCu3S
1.0
4.510 0.000 0.000
0.000 4.510 0.000
0.000 0.000 4.510
Tl Cu S
1 3 1
Direct
0.000 0.000 0.000 Tl
0.000 0.500 0.500 Cu
0.500 0.000 0.500 Cu
0.500 0.500 0.000 Cu
0.500 0.500 0.500 S
```

=====

Run two
Entry from Alexandria via LeMat-Bulk: a relaxed TlCu3S crystal (PBE).

Density of states at the Fermi level in states/eV/cell: 4.020
Volume in Å³/atom: 23.3

Cell and atoms, written as POSCAR:
```
TlCu3S
1.0
4.887 0.000 0.000
0.000 4.887 0.000
0.000 0.000 4.887
Tl Cu S
1 3 1
Direct
0.000 0.000 0.000 Tl
0.000 0.000 0.500 Cu
0.000 0.500 0.000 Cu
0.500 0.000 0.000 Cu
0.500 0.500 0.500 S
```

=====

Short version: run two is the least stable of them.

=====

Run one
Entry from Alexandria via LeMat-Bulk: a relaxed VCu2S4 crystal (PBE).

Density of states at the Fermi level in states/eV/cell: 7.095
Volume in Å³/atom: 17.9

Cell and atoms, written as POSCAR:
```
VCu2S4
1.0
-2.366 2.366 5.609
2.366 -2.366 5.609
2.366 2.366 -5.609
V Cu S
1 2 4
Direct
0.000 0.000 0.000 V
0.394 0.394 0.000 Cu
0.606 0.606 0.000 Cu
0.000 0.500 0.500 S
0.202 0.202 0.000 S
0.500 0.000 0.500 S
0.798 0.798 0.000 S
```

=====

Run two
Entry from Alexandria via LeMat-Bulk: a relaxed VCu2S4 crystal (PBE).

Density of states at the Fermi level in states/eV/cell: 6.493
Volume in Å³/atom: 22.8

Cell and atoms, written as POSCAR:
```
VCu2S4
1.0
5.414 0.000 0.000
0.000 5.414 0.000
0.000 0.000 5.443
V Cu S
1 2 4
Direct
0.000 0.000 0.000 V
0.000 0.500 0.000 Cu
0.500 0.000 0.000 Cu
0.232 0.232 0.232 S
0.232 0.768 0.768 S
0.768 0.232 0.768 S
0.768 0.768 0.232 S
```

=====

Short version: run one is the least stable of them.

=====

Run one
Entry from Alexandria via LeMat-Bulk: a relaxed Cu3WS crystal (PBE).

Density of states at the Fermi level in states/eV/cell: 3.512
Volume in Å³/atom: 15.1

Cell and atoms, written as POSCAR:
```
Cu3WS
1.0
4.229 0.000 0.000
0.000 4.229 0.000
0.000 0.000 4.229
Cu W S
3 1 1
Direct
0.000 0.000 0.500 Cu
0.000 0.500 0.000 Cu
0.500 0.000 0.000 Cu
0.500 0.500 0.500 W
0.000 0.000 0.000 S
```

=====

Run two
Entry from Alexandria via LeMat-Bulk: a relaxed Cu3WS crystal (PBE).

Density of states at the Fermi level in states/eV/cell: 3.830
Volume in Å³/atom: 21.0

Cell and atoms, written as POSCAR:
```
Cu3WS
1.0
4.716 0.000 0.000
0.000 4.716 0.000
0.000 0.000 4.716
Cu W S
3 1 1
Direct
0.000 0.000 0.500 Cu
0.000 0.500 0.000 Cu
0.500 0.000 0.000 Cu
0.000 0.000 0.000 W
0.500 0.500 0.500 S
```

=====

Short version: run two is the least stable of them.

=====

Run one
Entry from Alexandria via LeMat-Bulk: a relaxed ZnCu2S crystal (PBE).

Density of states at the Fermi level in states/eV/cell: 0.000
Volume in Å³/atom: 19.9

Cell and atoms, written as POSCAR:
```
ZnCu2S
1.0
-2.554 2.554 6.113
2.554 -2.554 6.113
2.554 2.554 -6.113
Zn Cu S
2 4 2
Direct
0.000 0.000 0.000 Zn
0.750 0.250 0.500 Zn
0.200 0.625 0.075 Cu
0.375 0.450 0.575 Cu
0.550 0.125 0.925 Cu
0.875 0.800 0.425 Cu
0.250 0.750 0.500 S
0.500 0.500 0.000 S
```

=====

Run two
Entry from Alexandria via LeMat-Bulk: a relaxed ZnCu2S crystal (PBE).

Density of states at the Fermi level in states/eV/cell: 0.106
Volume in Å³/atom: 14.1

Cell and atoms, written as POSCAR:
```
ZnCu2S
1.0
0.000 3.046 3.046
3.046 0.000 3.046
3.046 3.046 0.000
Zn Cu S
1 2 1
Direct
0.000 0.000 0.000 Zn
0.250 0.250 0.250 Cu
0.750 0.750 0.750 Cu
0.500 0.500 0.500 S
```

=====

Short version: run two is the least stable of them.

=====

Run one
Entry from Alexandria via LeMat-Bulk: a relaxed Zr3CuS crystal (PBE).

Density of states at the Fermi level in states/eV/cell: 16.102
Volume in Å³/atom: 19.1

Cell and atoms, written as POSCAR:
```
Zr3CuS
1.0
7.188 0.000 0.000
0.000 3.773 0.000
0.000 0.000 14.072
Zr Cu S
12 4 4
Direct
0.007 0.250 0.098 Zr
0.135 0.250 0.555 Zr
0.179 0.750 0.269 Zr
0.321 0.250 0.769 Zr
0.365 0.750 0.055 Zr
0.493 0.750 0.598 Zr
0.507 0.250 0.402 Zr
0.635 0.250 0.945 Zr
0.679 0.750 0.231 Zr
0.821 0.250 0.731 Zr
0.865 0.750 0.445 Zr
0.993 0.750 0.902 Zr
0.099 0.750 0.699 Cu
0.401 0.250 0.199 Cu
0.599 0.750 0.801 Cu
0.901 0.250 0.301 Cu
0.235 0.250 0.947 S
0.265 0.750 0.447 S
0.735 0.250 0.553 S
0.765 0.750 0.053 S
```

=====

Run two
Entry from Alexandria via LeMat-Bulk: a relaxed Zr3CuS crystal (PBE).

Density of states at the Fermi level in states/eV/cell: 4.373
Volume in Å³/atom: 21.9

Cell and atoms, written as POSCAR:
```
Zr3CuS
1.0
4.786 0.000 0.000
0.000 4.786 0.000
0.000 0.000 4.786
Zr Cu S
3 1 1
Direct
0.000 0.000 0.500 Zr
0.000 0.500 0.000 Zr
0.500 0.000 0.000 Zr
0.500 0.500 0.500 Cu
0.000 0.000 0.000 S
```

=====

Short version: run two is the least stable of them.

=====

Run one
Entry from Alexandria via LeMat-Bulk: a relaxed CuSb3 crystal (PBE).

Density of states at the Fermi level in states/eV/cell: 1.847
Volume in Å³/atom: 23.7

Cell and atoms, written as POSCAR:
```
CuSb3
1.0
2.008 -2.500 0.000
2.008 2.500 0.000
0.000 0.000 9.450
Cu Sb
1 3
Direct
0.000 0.000 0.000 Cu
0.000 0.000 0.500 Sb
0.500 0.500 0.196 Sb
0.500 0.500 0.804 Sb
```

=====

Run two
Entry from Alexandria via LeMat-Bulk: a relaxed CuSb3 crystal (PBE).

Density of states at the Fermi level in states/eV/cell: 2.017
Volume in Å³/atom: 24.7

Cell and atoms, written as POSCAR:
```
CuSb3
1.0
2.930 -4.094 0.000
2.930 4.094 0.000
0.000 0.000 4.111
Cu Sb
1 3
Direct
0.000 0.000 0.000 Cu
0.211 0.789 0.500 Sb
0.500 0.500 0.000 Sb
0.789 0.211 0.500 Sb
```

=====

Short version: run one is the least stable of them.

=====

Run one
Entry from Alexandria via LeMat-Bulk: a relaxed CuSb5 crystal (PBE).

Density of states at the Fermi level in states/eV/cell: 2.321
Volume in Å³/atom: 29.6

Cell and atoms, written as POSCAR:
```
CuSb5
1.0
6.093 0.000 0.000
-3.046 5.276 0.000
0.000 0.000 5.516
Cu Sb
1 5
Direct
0.000 0.000 0.000 Cu
0.000 0.500 0.500 Sb
0.333 0.667 0.000 Sb
0.500 0.000 0.500 Sb
0.500 0.500 0.500 Sb
0.667 0.333 0.000 Sb
```

=====

Run two
Entry from Alexandria via LeMat-Bulk: a relaxed CuSb5 crystal (PBE).

Density of states at the Fermi level in states/eV/cell: 1.682
Volume in Å³/atom: 29.6

Cell and atoms, written as POSCAR:
```
CuSb5
1.0
6.329 -2.012 0.000
6.329 2.012 0.000
-0.045 0.000 6.979
Cu Sb
1 5
Direct
0.000 0.000 0.000 Cu
0.344 0.344 0.768 Sb
0.385 0.385 0.175 Sb
0.614 0.614 0.179 Sb
0.651 0.651 0.771 Sb
0.997 0.997 0.597 Sb
```

=====

Short version: run one is the least stable of them.

=====

Run one
Entry from Alexandria via LeMat-Bulk: a relaxed CuSb5 crystal (PBE).

Density of states at the Fermi level in states/eV/cell: 3.660
Volume in Å³/atom: 26.8

Cell and atoms, written as POSCAR:
```
CuSb5
1.0
6.979 0.000 0.000
-3.490 6.044 0.000
0.000 0.000 3.810
Cu Sb
1 5
Direct
0.000 0.000 0.000 Cu
0.000 0.714 0.500 Sb
0.286 0.286 0.500 Sb
0.333 0.667 0.000 Sb
0.667 0.333 0.000 Sb
0.714 0.000 0.500 Sb
```

=====

Run two
Entry from Alexandria via LeMat-Bulk: a relaxed CuSb5 crystal (PBE).

Density of states at the Fermi level in states/eV/cell: 4.059
Volume in Å³/atom: 27.8

Cell and atoms, written as POSCAR:
```
CuSb5
1.0
0.000 4.370 4.370
4.370 0.000 4.370
4.370 4.370 0.000
Cu Sb
1 5
Direct
0.000 0.000 0.000 Cu
0.375 0.375 0.375 Sb
0.375 0.375 0.876 Sb
0.375 0.876 0.375 Sb
0.750 0.750 0.750 Sb
0.876 0.375 0.375 Sb
```

=====

Short version: run two is the least stable of them.

=====

Run one
Entry from Alexandria via LeMat-Bulk: a relaxed Cu4Sb crystal (PBE).

Density of states at the Fermi level in states/eV/cell: 0.941
Volume in Å³/atom: 22.2

Cell and atoms, written as POSCAR:
```
Cu4Sb
1.0
4.802 0.000 0.000
0.000 4.802 0.000
0.000 0.000 4.802
Cu Sb
4 1
Direct
0.000 0.000 0.000 Cu
0.000 0.500 0.500 Cu
0.500 0.000 0.500 Cu
0.500 0.500 0.000 Cu
0.500 0.500 0.500 Sb
```

=====

Run two
Entry from Alexandria via LeMat-Bulk: a relaxed Cu4Sb crystal (PBE).

Density of states at the Fermi level in states/eV/cell: 1.522
Volume in Å³/atom: 19.3

Cell and atoms, written as POSCAR:
```
Cu4Sb
1.0
-2.891 2.891 2.891
2.891 -2.891 2.891
2.891 2.891 -2.891
Cu Sb
4 1
Direct
0.000 0.000 0.500 Cu
0.000 0.500 0.000 Cu
0.500 0.000 0.000 Cu
0.500 0.500 0.500 Cu
0.000 0.000 0.000 Sb
```

=====

Run three
Entry from Alexandria via LeMat-Bulk: a relaxed Cu4Sb crystal (PBE).

Density of states at the Fermi level in states/eV/cell: 1.626
Volume in Å³/atom: 15.4

Cell and atoms, written as POSCAR:
```
Cu4Sb
1.0
-1.792 1.792 5.994
1.792 -1.792 5.994
1.792 1.792 -5.994
Cu Sb
4 1
Direct
0.104 0.104 0.000 Cu
0.250 0.750 0.500 Cu
0.750 0.250 0.500 Cu
0.896 0.896 0.000 Cu
0.500 0.500 0.000 Sb
```

=====

Run four
Entry from Alexandria via LeMat-Bulk: a relaxed Cu4Sb crystal (PBE).

Density of states at the Fermi level in states/eV/cell: 1.356
Volume in Å³/atom: 14.3

Cell and atoms, written as POSCAR:
```
Cu4Sb
1.0
-3.058 3.058 1.911
3.058 -3.058 1.911
3.058 3.058 -1.911
Cu Sb
4 1
Direct
0.096 0.313 0.409 Cu
0.313 0.904 0.216 Cu
0.687 0.096 0.784 Cu
0.904 0.687 0.591 Cu
0.500 0.500 0.000 Sb
```

=====

Short version: run one is the least stable of them.

=====

Run one
Entry from Alexandria via LeMat-Bulk: a relaxed CuSbSe3 crystal (PBE).

Density of states at the Fermi level in states/eV/cell: 3.533
Volume in Å³/atom: 22.1

Cell and atoms, written as POSCAR:
```
CuSbSe3
1.0
4.801 0.000 0.000
0.000 4.801 0.000
0.000 0.000 4.801
Cu Sb Se
1 1 3
Direct
0.000 0.000 0.000 Cu
0.500 0.500 0.500 Sb
0.000 0.000 0.500 Se
0.000 0.500 0.000 Se
0.500 0.000 0.000 Se
```

=====

Run two
Entry from Alexandria via LeMat-Bulk: a relaxed CuSbSe3 crystal (PBE).

Density of states at the Fermi level in states/eV/cell: 7.626
Volume in Å³/atom: 25.4

Cell and atoms, written as POSCAR:
```
CuSbSe3
1.0
1.978 -9.808 0.000
1.978 9.808 0.000
0.000 0.000 6.552
Cu Sb Se
2 2 6
Direct
0.120 0.880 0.500 Cu
0.880 0.120 0.000 Cu
0.344 0.656 0.462 Sb
0.656 0.344 0.962 Sb
0.083 0.917 0.156 Se
0.221 0.779 0.704 Se
0.432 0.568 0.148 Se
0.568 0.432 0.648 Se
0.779 0.221 0.204 Se
0.917 0.083 0.656 Se
```

=====

Short version: run one is the least stable of them.

=====

Run one
Entry from Alexandria via LeMat-Bulk: a relaxed CuSbTe2Se crystal (PBE).

Density of states at the Fermi level in states/eV/cell: 5.295
Volume in Å³/atom: 32.3

Cell and atoms, written as POSCAR:
```
CuSbTe2Se
1.0
5.454 0.000 0.000
0.000 5.454 0.000
0.000 0.000 5.436
Cu Sb Te Se
1 1 2 1
Direct
0.000 0.000 0.000 Cu
0.500 0.500 0.000 Sb
0.000 0.500 0.500 Te
0.500 0.000 0.500 Te
0.500 0.500 0.500 Se
```

=====

Run two
Entry from Alexandria via LeMat-Bulk: a relaxed CuSbTe2Se crystal (PBE).

Density of states at the Fermi level in states/eV/cell: 5.910
Volume in Å³/atom: 26.7

Cell and atoms, written as POSCAR:
```
CuSbTe2Se
1.0
5.083 0.000 0.000
0.000 5.083 0.000
0.000 0.000 5.161
Cu Sb Te Se
1 1 2 1
Direct
0.000 0.000 0.000 Cu
0.000 0.000 0.500 Sb
0.000 0.500 0.000 Te
0.500 0.000 0.000 Te
0.500 0.500 0.500 Se
```

=====

Short version: run one is the least stable of them.

=====

Run one
Entry from Alexandria via LeMat-Bulk: a relaxed CuSiSb crystal (PBE).

Density of states at the Fermi level in states/eV/cell: 0.486
Volume in Å³/atom: 19.7

Cell and atoms, written as POSCAR:
```
CuSiSb
1.0
0.000 3.094 3.094
3.094 0.000 3.094
3.094 3.094 0.000
Cu Si Sb
1 1 1
Direct
0.000 0.000 0.000 Cu
0.250 0.250 0.250 Si
0.750 0.750 0.750 Sb
```

=====

Run two
Entry from Alexandria via LeMat-Bulk: a relaxed CuSiSb crystal (PBE).

Density of states at the Fermi level in states/eV/cell: 1.248
Volume in Å³/atom: 19.0

Cell and atoms, written as POSCAR:
```
CuSiSb
1.0
0.000 2.221 6.182
2.072 0.000 6.182
2.072 2.221 0.000
Cu Si Sb
1 1 1
Direct
0.000 0.000 0.000 Cu
0.607 0.607 0.393 Si
0.329 0.329 0.671 Sb
```

=====

Short version: run two is the least stable of them.